No. 1
{"formula": "Hf2WF", "functional": "PBE+U", "state": "relaxed", "lattice_angstrom": [[-0.3858, -0.7006, 4.6149], [0.0819, 3.6473, 2.9373], [-3.9037, 1.2864, 2.2457]], "species": ["Hf", "Hf", "W", "F"], "frac_coords": [[0.7500, 0.7500, 0.7500], [0.2500, 0.2500, 0.2500], [0.5000, 0.5000, 0.5000], [0.0000, 0.0000, 0.0000]], "vol_a3_per_atom": 18.16, "final_energy_ev_per_atom": -7.096, "spacegroup": "Fm-3m, No. 225", "polymorph_energy_mev_per_atom": 376}


No. 2
{"formula": "Hf2WF", "functional": "PBE+U", "state": "relaxed", "lattice_angstrom": [[-6.3014, -2.6617, 0.5516], [2.3426, -4.6111, 4.5107], [-2.6094, -1.6581, 4.8807]], "species": ["W", "W", "Hf", "Hf", "Hf", "Hf", "F", "F"], "frac_coords": [[0.0000, 0.0000, 0.0000], [0.7500, 0.2500, 0.5000], [0.3750, 0.4525, 0.7500], [0.8750, 0.7975, 0.7500], [0.2025, 0.6250, 0.2500], [0.5475, 0.1250, 0.2500], [0.5000, 0.5000, 0.0000], [0.2500, 0.7500, 0.5000]], "vol_a3_per_atom": 18.46, "final_energy_ev_per_atom": -7.472, "spacegroup": "I-42d, No. 122", "polymorph_energy_mev_per_atom": 0}


No. 3
{"formula": "HfZrW2F", "functional": "PBE+U", "state": "relaxed", "lattice_angstrom": [[5.3199, 0.0000, 0.0000], [0.0000, 5.1750, 0.0000], [0.0000, 0.0000, 5.3199]], "species": ["F", "Hf", "W", "W", "Zr"], "frac_coords": [[0.5000, 0.5000, 0.5000], [0.0000, 0.5000, 0.0000], [0.5000, 0.0000, 0.0000], [0.0000, 0.0000, 0.5000], [0.0000, 0.0000, 0.0000]], "vol_a3_per_atom": 29.29, "final_energy_ev_per_atom": -5.066, "spacegroup": "P4/mmm, No. 123"}